Here is a relaxed structure of Ti2CrF8 from Alexandria via LeMat-Bulk. Energies are from PBE+U.

final energy	-6.5096	eV/atom
calculated density	3.54	g cm⁻³
space-group type	C2/m

Cell: 5.243 5.333 5.333 Å, 74.68 99.63 99.63°
Site moments in Bohr magnetons follow the coordinates.
Fractional coordinates of all 11 atoms:
Ti: 0.554 0.317 0.317  0.95
Ti: 0.446 0.683 0.683  0.95
Cr: 0.000 0.000 0.000  3.81
F: 0.677 0.046 0.661  0.00
F: 0.323 0.339 0.954  0.00
F: 0.814 0.179 0.179  0.01
F: 0.186 0.821 0.821  0.01
F: 0.677 0.661 0.046  0.00
F: 0.323 0.954 0.339  0.00
F: 0.269 0.446 0.446  -0.01
F: 0.731 0.554 0.554  -0.01